# 1
Y2IrOs: relaxed, PBE.

Properties
- Raw total energy: -34.6 eV for the cell shown
- Energy of formation from the pure elements: -0.40 eV/atom
- Magnetization: 0.0 Bohr magnetons per cell
- D(E_F): 0.530 states/eV/atom

Cell and atoms, written as extended XYZ:
```
4
Lattice="3.4173 0.0000 0.0000 0.0000 3.4303 0.0000 0.0000 0.0000 6.8430" Properties=species:S:1:pos:R:3 pbc="T T T"
Y 0.0000 0.0000 1.6899
Y 0.0000 0.0000 5.1532
Ir 1.7086 1.7152 3.4215
Os 1.7086 1.7152 0.0000
```

=====

# 2
YIr2Os: relaxed, PBE.

Properties
- Raw total energy: -33.9 eV for the cell shown
- Energy of formation from the pure elements: 0.37 eV/atom
- Distance to the lowest polymorph of the same formula: 0.480 eV/atom
- Magnetization: 0.1 Bohr magnetons per cell
- D(E_F): 1.708 states/eV/atom

Cell and atoms, written as extended XYZ:
```
4
Lattice="1.4215 0.8207 9.5335 -1.4215 0.8207 9.5335 0.0000 -1.6414 9.5335" Properties=species:S:1:pos:R:3 pbc="T T T"
Y 0.0000 0.0000 0.0000
Ir 0.0000 0.0000 14.3108
Ir 0.0000 0.0000 21.5920
Os 0.0000 0.0000 6.8752
```

=====

# 3
YIr2Os: relaxed, PBE.

Properties
- Raw total energy: -34.4 eV for the cell shown
- Energy of formation from the pure elements: 0.25 eV/atom
- Distance to the lowest polymorph of the same formula: 0.355 eV/atom
- Magnetization: 3.0 Bohr magnetons per cell
- D(E_F): 1.080 states/eV/atom

Cell and atoms, written as extended XYZ:
```
4
Lattice="0.0000 3.2650 3.2650 3.2650 0.0000 3.2650 3.2650 3.2650 0.0000" Properties=species:S:1:pos:R:3 pbc="T T T"
Y 0.0000 0.0000 0.0000
Ir 1.6325 1.6325 1.6325
Ir 4.8975 4.8975 4.8975
Os 3.2650 3.2650 3.2650
```

=====

# 4
YIr3Os: relaxed, PBE.

Properties
- Raw total energy: -40.3 eV for the cell shown
- Energy of formation from the pure elements: 0.79 eV/atom
- Distance to the lowest polymorph of the same formula: 0.000 eV/atom
- Magnetization: 0.0 Bohr magnetons per cell
- D(E_F): 1.110 states/eV/atom

Cell and atoms, written as extended XYZ:
```
5
Lattice="4.7682 0.0000 0.0000 0.0000 4.7682 0.0000 0.0000 0.0000 4.7682" Properties=species:S:1:pos:R:3 pbc="T T T"
Y 0.0000 0.0000 0.0000
Ir 0.0000 2.3841 2.3841
Ir 2.3841 0.0000 2.3841
Ir 2.3841 2.3841 0.0000
Os 2.3841 2.3841 2.3841
```